{
  "formula": "LiCdMoW2",
  "functional": "PBE",
  "state": "relaxed",
  "cell": [[-0.501, -4.848, -0.819], [1.483, -0.740, 3.471], [-4.532, 0.137, 1.965]],
  "species": ["Li", "W", "W", "Cd", "Mo"],
  "frac_coords": [[0.000, 0.500, 0.000], [0.500, 0.000, 0.000], [0.000, 0.000, 0.500], [0.000, 0.000, 0.000], [0.500, 0.500, 0.500]],
  "formation_energy_ev_per_atom": 2.16,
  "dos_ef_per_ev_atom": 0.532
}